Below is a geometry-optimized HoAlH6 structure, with properties calculated at the GGA-PBE level.

- Total energy: -3.7489 eV per atom
- Spin magnetization: 0.0 μB/cell

a b c (Å): 4.3222 4.3558 7.3057
angles (deg): 90.00 74.99 90.00
Positions (direct):
H  0.9630  0.1511  0.6104
H  0.3798  0.1792  0.8065
H  0.8798  0.3208  0.3065
H  0.1143  0.9448  0.1007
H  0.4630  0.3489  0.1104
H  0.6202  0.8208  0.1935
H  0.0370  0.8489  0.3896
H  0.1202  0.6792  0.6935
H  0.8857  0.0552  0.8993
H  0.5370  0.6511  0.8896
H  0.3857  0.4448  0.3993
H  0.6143  0.5552  0.6007
Ho  0.0000  0.5000  0.0000
Ho  0.5000  0.0000  0.5000
Al  0.5000  0.0000  0.0000
Al  0.0000  0.5000  0.5000

***

Below is a geometry-optimized LiPrBiRh structure, with properties calculated at the GGA-PBE level.

- Spin magnetization: 0.0 μB/cell
- DFT formation energy: -638 meV/atom

a b c (Å): 4.9019 4.9019 4.9019
angles (deg): 60.00 60.00 60.00
Positions (direct):
Li  0.7500  0.7500  0.7500
Bi  0.5000  0.5000  0.5000
Rh  0.2500  0.2500  0.2500
Pr  0.0000  0.0000  0.0000

***

Below is a geometry-optimized Tc3WBr structure, with properties calculated at the GGA-PBE level.

- ΔE to the lowest computed polymorph: 52 meV/atom
- Uncorrected formation energy: 1.948 eV per atom
- Spin magnetization: 4.5 μB/cell

a b c (Å): 4.8288 4.8288 4.8288
angles (deg): 90.00 90.00 90.00
Positions (direct):
Tc  0.0000  0.0000  0.5000
Tc  0.5000  0.0000  0.0000
Tc  0.0000  0.5000  0.0000
W  0.0000  0.0000  0.0000
Br  0.5000  0.5000  0.5000

***

Below is a geometry-optimized DyTh2Ti structure, with properties calculated at the GGA-PBE level.

- ΔE to the lowest computed polymorph: 78 meV/atom
- Spin magnetization: 0.0 μB/cell
- DFT formation energy: 210 meV/atom

a b c (Å): 4.7155 4.8941 4.8941
angles (deg): 90.00 90.00 90.00
Positions (direct):
Dy  0.5000  0.0000  0.0000
Ti  0.5000  0.5000  0.5000
Th  0.0000  0.5000  0.0000
Th  0.0000  0.0000  0.5000

***

Below is a geometry-optimized TeC3 structure, with properties calculated at the GGA-PBE level.

- ΔE to the lowest computed polymorph: 471 meV/atom
- Uncorrected formation energy: 1.437 eV per atom
- Spin magnetization: 0.0 μB/cell

a b c (Å): 5.4583 5.4583 5.4583
angles (deg): 132.25 81.86 117.98
Positions (direct):
C  0.5168  0.7292  0.7876
C  0.3095  0.5000  0.8095
C  0.0584  0.2708  0.7876
Te  0.9486  0.0000  0.9486

***

Below is a geometry-optimized TaMnAu2 structure, with properties calculated at the GGA-PBE level.

- Spin magnetization: 2.5 μB/cell
- DFT formation energy: 12 meV/atom

a b c (Å): 3.3004 3.3004 6.1745
angles (deg): 90.00 90.00 90.00
Positions (direct):
Au  0.0000  0.0000  0.9927
Au  0.5000  0.5000  0.2689
Mn  0.0000  0.0000  0.5074
Ta  0.5000  0.5000  0.7310

***

Below is a geometry-optimized Rb2Y2RhO6 structure, with properties calculated at the GGA-PBE level.

- Uncorrected formation energy: -2.121 eV per atom
- Spin magnetization: 1.0 μB/cell

a b c (Å): 5.7867 5.7867 6.8757
angles (deg): 97.47 97.47 119.52
Positions (direct):
Y  0.3350  0.6650  0.5000
Y  0.6650  0.3350  0.5000
Rh  0.0000  0.0000  0.5000
O  0.2527  0.2527  0.3330
O  0.9519  0.6409  0.3350
O  0.7473  0.7473  0.6670
O  0.6409  0.9519  0.3350
O  0.3591  0.0481  0.6650
O  0.0481  0.3591  0.6650
Rb  0.8366  0.1634  0.0000
Rb  0.1634  0.8366  0.0000

***

Below is a geometry-optimized Ca2LaPrHg4 structure, with properties calculated at the GGA-PBE level.

- Spin magnetization: 0.0 μB/cell
- DFT formation energy: -554 meV/atom

a b c (Å): 5.4293 5.4293 9.3935
angles (deg): 73.20 73.20 60.00
Positions (direct):
Hg  0.1253  0.1253  0.6241
Hg  0.8747  0.8747  0.3759
Hg  0.6240  0.6240  0.1279
Hg  0.3760  0.3760  0.8721
Ca  0.7503  0.7503  0.7490
Ca  0.2497  0.2497  0.2510
La  0.0000  0.0000  0.0000
Pr  0.5000  0.5000  0.5000

***

Below is a geometry-optimized Nd2Ag structure, with properties calculated at the GGA-PBE level.

- Spin magnetization: 0.6 μB/cell
- DFT formation energy: -143 meV/atom

a b c (Å): 3.7450 3.7450 6.8970
angles (deg): 105.77 105.77 89.98
Positions (direct):
Nd  0.1476  0.1476  0.2958
Nd  0.8524  0.8524  0.7042
Ag  0.5000  0.5000  0.0000

***

Below is a geometry-optimized SrB12 structure, with properties calculated at the GGA-PBE level.

- ΔE to the lowest computed polymorph: 633 meV/atom
- Spin magnetization: 0.0 μB/cell
- DFT formation energy: 583 meV/atom

a b c (Å): 5.0624 5.0624 5.0624
angles (deg): 90.00 90.00 90.00
Positions (direct):
B  0.5000  0.0000  0.2418
B  0.5000  0.0000  0.7582
B  0.0000  0.5000  0.7582
B  0.2418  0.0000  0.5000
B  0.0000  0.5000  0.2418
B  0.5000  0.2418  0.0000
B  0.7582  0.0000  0.5000
B  0.0000  0.7582  0.5000
B  0.7582  0.5000  0.0000
B  0.5000  0.7582  0.0000
B  0.0000  0.2418  0.5000
B  0.2418  0.5000  0.0000
Sr  0.5000  0.5000  0.5000

***

Below is a geometry-optimized Hf6Zr2Sc structure, with properties calculated at the GGA-PBE level.

- Spin magnetization: 0.0 μB/cell
- DFT formation energy: 119 meV/atom

a b c (Å): 5.9202 8.5503 8.5503
angles (deg): 100.38 98.68 98.68
Positions (direct):
Hf  0.8240  0.0339  0.2502
Hf  0.2009  0.5487  0.9235
Hf  0.7009  0.9235  0.5487
Hf  0.5167  0.3520  0.7378
Hf  0.7991  0.4513  0.0765
Hf  0.0167  0.7378  0.3520
Hf  0.3240  0.2502  0.0339
Hf  0.9833  0.2622  0.6480
Hf  0.2991  0.0765  0.4513
Hf  0.4833  0.6480  0.2622
Hf  0.1760  0.9661  0.7498
Hf  0.6760  0.7498  0.9661
Zr  0.1344  0.3722  0.3406
Zr  0.6344  0.3406  0.3722
Zr  0.3656  0.6594  0.6278
Zr  0.8656  0.6278  0.6594
Sc  0.7500  0.0973  0.9027
Sc  0.2500  0.9027  0.0973

***

Below is a geometry-optimized NaLaB2Cl structure, with properties calculated at the GGA-PBE level.

- Uncorrected formation energy: 1.182 eV per atom
- Spin magnetization: 0.0 μB/cell

a b c (Å): 4.7665 5.1280 4.7665
angles (deg): 90.00 90.00 90.00
Positions (direct):
B  0.5000  0.0000  0.0000
B  0.0000  0.0000  0.5000
La  0.0000  0.5000  0.0000
Na  0.5000  0.5000  0.5000
Cl  0.0000  0.0000  0.0000

***

What are the DOS at the Fermi energy values for these records? In order: 0.00, 0.06, 8.08, 6.42, 2.15, 2.99, 7.96, 6.95, 4.18, 2.75, 22.61, 1.68 states/eV per cell.